Tm2O3: optimized geometry, GGA-PBE.

Summary:
For the volume, the calculation gives 563.10 Å³ per cell. Its space-group type is I2_13. The total energy is -42.2 eV/f.u.

Cell lengths 9.010, 9.010, 9.010 Å; angles 109.47, 109.47, 109.47 degrees
Element x y z (fractional)
O (0.044, 0.032, 0.771)
O (0.968, 0.728, 0.456)
O (0.728, 0.772, 0.739)
O (0.739, 0.468, 0.512)
Tm (0.283, 0.533, 0.750)
Tm (0.750, 0.217, 0.467)
Tm (0.033, 0.250, 0.283)
Tm (0.750, 0.717, 0.967)
Tm (0.500, 0.501, 0.500)
Tm (0.501, 0.000, 0.000)
O (0.544, 0.772, 0.012)
O (0.456, 0.227, 0.988)
Tm (0.250, 0.283, 0.033)
O (0.956, 0.968, 0.228)
O (0.468, 0.012, 0.239)
O (0.728, 0.956, 0.468)
O (0.772, 0.239, 0.228)
O (0.239, 0.728, 0.272)
O (0.227, 0.488, 0.956)
Tm (0.250, 0.783, 0.533)
Tm (0.000, 0.500, 0.001)
O (0.273, 0.229, 0.261)
Tm (0.217, 0.967, 0.250)
O (0.988, 0.261, 0.032)
Tm (0.967, 0.750, 0.717)
O (0.761, 0.273, 0.729)
O (0.012, 0.739, 0.968)
Tm (0.783, 0.033, 0.750)
Tm (0.999, 0.999, 0.499)
Tm (0.533, 0.250, 0.783)
Tm (0.467, 0.750, 0.217)
O (0.532, 0.988, 0.761)
O (0.488, 0.456, 0.727)
O (0.271, 0.044, 0.532)
O (0.512, 0.544, 0.272)
O (0.032, 0.271, 0.544)
O (0.229, 0.761, 0.773)
O (0.261, 0.532, 0.488)
Tm (0.717, 0.467, 0.250)
O (0.772, 0.512, 0.044)